[1]
Material: Tl2Cd2In2Sn
Method: DFT, PBE
State: optimized geometry

a b c (Å): 4.5505 13.0546 9.7832
angles (deg): 22.83 90.00 100.04
Sites, in units of the cell vectors:
In 0.6326 0.2652 0.3761
In 0.3674 0.7348 0.6239
Cd 0.2805 0.5609 0.1753
Cd 0.7195 0.4391 0.8247
Tl 0.9003 0.8005 0.0949
Tl 0.0997 0.1995 0.9051
Sn 0.0000 0.0000 0.5000

Properties
spin magnetization: 0.00 μB per cell
E_tot: -15.7 eV/cell
formation energy from the elements: 0.34 eV per formula unit


[2]
Material: KTl2BiS
Method: DFT, PBE
State: optimized geometry

a b c (Å): 6.1623 5.3669 6.1623
angles (deg): 90.00 90.00 90.00
Sites, in units of the cell vectors:
Tl 0.0000 0.0000 0.5000
Tl 0.5000 0.0000 0.0000
K 0.0000 0.0000 0.0000
Bi 0.5000 0.5000 0.5000
S 0.0000 0.5000 0.0000

Properties
energy relative to the elements, uncorrected: 0.51 eV/atom
spin magnetization: 1.58 μB per cell
E_tot: -11.3 eV/cell


Which formula does entry 2 have? KTl2BiS


Which of these has the highest spin magnetization? KTl2BiS